(1)
The following is a DFT calculation (GGA-PBE) of BaLa3Bi after structural relaxation.

Computed properties:
calculated formation energy	2.9	eV per formula unit
energy	-3.54	eV/atom
polymorph energy (0 for the lowest one)	584	meV per atom

a = 5.857 Å, b = 5.857 Å, c = 5.857 Å
α = 90.00°, β = 90.00°, γ = 90.00°
Atoms (fractional coordinates):
La (0.000, 0.000, 0.500)
Ba (0.000, 0.000, 0.000)
La (0.000, 0.500, 0.000)
La (0.500, 0.000, 0.000)
Bi (0.500, 0.500, 0.500)


(2)
The following is a DFT calculation (GGA-PBE) of Tm8TlTe2 after structural relaxation.

Computed properties:
ΔE_f (raw)	-0.34	eV/atom
energy	-4.38	eV/atom

a = 5.827 Å, b = 8.018 Å, c = 8.018 Å
α = 116.65°, β = 97.97°, γ = 97.97°
Atoms (fractional coordinates):
Tm (0.858, 0.912, 0.682)
Tm (0.500, 0.241, 0.759)
Tm (0.142, 0.088, 0.318)
Tm (0.700, 0.399, 0.399)
Tm (0.858, 0.682, 0.912)
Te (0.000, 0.696, 0.304)
Te (0.000, 0.304, 0.696)
Tm (0.300, 0.601, 0.601)
Tl (0.500, 0.000, 0.000)
Tm (0.142, 0.318, 0.088)
Tm (0.500, 0.759, 0.241)


Please write out number 2 again, unchanged.
The following is a DFT calculation (GGA-PBE) of Tm8TlTe2 after structural relaxation.

Computed properties:
ΔE_f (raw)	-0.34	eV/atom
energy	-4.38	eV/atom

a = 5.827 Å, b = 8.018 Å, c = 8.018 Å
α = 116.65°, β = 97.97°, γ = 97.97°
Atoms (fractional coordinates):
Tm (0.858, 0.912, 0.682)
Tm (0.500, 0.241, 0.759)
Tm (0.142, 0.088, 0.318)
Tm (0.700, 0.399, 0.399)
Tm (0.858, 0.682, 0.912)
Te (0.000, 0.696, 0.304)
Te (0.000, 0.304, 0.696)
Tm (0.300, 0.601, 0.601)
Tl (0.500, 0.000, 0.000)
Tm (0.142, 0.318, 0.088)
Tm (0.500, 0.759, 0.241)


> Which of these has the lowest energy?

Tm8TlTe2


> Number 1 is which compound?

BaLa3Bi